MnCdF2 | the Alexandria database | PBE with a Hubbard U | optimized geometry; crystal system = trigonal; symmetry = R-3m, No. 166; relative energy among the computed polymorphs = 0.0 kJ/mol of atoms
1.0
1.647 0.951 8.400
-1.647 0.951 8.400
0.000 -1.901 8.400
Mn Cd F
1 1 2
Cartesian
0.000 0.000 0.000
0.000 0.000 12.599
0.000 0.000 9.411
0.000 0.000 15.788